Record 1
A plane-wave DFT calculation with PBE-GGA was carried out for a relaxed structure of V2PIrSe.

Output
- total moment (Bohr magnetons per cell) = 0.00
- energy relative to the elements, uncorrected (eV per atom) = 0.371
- D(E_F) (states/eV per cell) = 6.31
- space group = P4/mmm (123)

```
5
Lattice="4.4196 0.0000 0.0000 0.0000 4.3707 0.0000 0.0000 0.0000 4.4196" Properties=species:S:1:pos:R:3 pbc="T T T"
P 0.0000 0.0000 0.0000
Ir 0.0000 2.1853 0.0000
Se 2.2098 2.1853 2.2098
V 0.0000 0.0000 2.2098
V 2.2098 0.0000 0.0000
```

---

Record 2
A plane-wave DFT calculation with PBE-GGA was carried out for a relaxed structure of P2IrWSe.

Output
- total moment (Bohr magnetons per cell) = 0.00
- energy relative to the elements, uncorrected (eV per atom) = 1.184
- D(E_F) (states/eV per cell) = 4.24
- space group = P4/mmm (123)

```
5
Lattice="-2.0532 2.2507 3.4651 -0.1385 -4.1045 2.5839 4.1298 0.9945 1.8011" Properties=species:S:1:pos:R:3 pbc="T T T"
P 2.0649 0.4973 0.9005
P -1.0266 1.1253 1.7326
Ir 0.9691 -0.4296 3.9251
Se -0.0692 -2.0522 1.2920
W 0.0000 0.0000 0.0000
```

---

Record 3
A plane-wave DFT calculation with PBE-GGA was carried out for a relaxed structure of SiP2Ir2.

Output
- excess energy over the best structure of this formula in the dataset (meV per atom) = 146
- total moment (Bohr magnetons per cell) = 0.00
- energy relative to the elements, uncorrected (eV per atom) = 0.126
- D(E_F) (states/eV per cell) = 6.00
- space group = P4/mbm (127)

```
10
Lattice="7.2091 0.0000 0.0000 0.0000 7.2091 0.0000 0.0000 0.0000 2.8092" Properties=species:S:1:pos:R:3 pbc="T T T"
P 1.0959 4.7004 1.4046
P 4.7004 6.1132 1.4046
P 6.1132 2.5087 1.4046
P 2.5087 1.0959 1.4046
Si 0.0000 0.0000 0.0000
Si 3.6045 3.6045 0.0000
Ir 2.5885 6.1930 0.0000
Ir 6.1930 4.6206 0.0000
Ir 4.6206 1.0160 0.0000
Ir 1.0160 2.5885 0.0000
```

---

Record 4
A plane-wave DFT calculation with PBE-GGA was carried out for a relaxed structure of SiP2Ir2.

Output
- excess energy over the best structure of this formula in the dataset (meV per atom) = 156
- total moment (Bohr magnetons per cell) = 0.00
- energy relative to the elements, uncorrected (eV per atom) = 0.137
- D(E_F) (states/eV per cell) = 3.00
- space group = I4/mmm (139)

```
5
Lattice="3.8112 0.0000 0.0000 0.0000 3.8112 0.0000 1.9056 1.9056 5.4972" Properties=species:S:1:pos:R:3 pbc="T T T"
P 3.8112 1.9056 2.7486
P 1.9056 3.8112 2.7486
Si 0.0000 0.0000 0.0000
Ir 1.9056 1.9056 1.3632
Ir 3.8112 3.8112 4.1340
```

---

Record 5
A plane-wave DFT calculation with PBE-GGA was carried out for a relaxed structure of SiP2Ir.

Output
- excess energy over the best structure of this formula in the dataset (meV per atom) = 542
- total moment (Bohr magnetons per cell) = 0.00
- energy relative to the elements, uncorrected (eV per atom) = 0.299
- D(E_F) (states/eV per cell) = 1.49
- space group = Pmmm (47)

```
4
Lattice="-1.5234 1.0333 -2.1237 -2.6608 -1.0095 1.4175 -0.4882 5.6155 3.0826" Properties=species:S:1:pos:R:3 pbc="T T T"
Ir -2.4583 4.2236 1.9589
P -0.4788 5.5070 3.0230
P -0.2536 2.9163 1.6009
Si -2.2142 1.4158 0.4176
```

---

Record 6
A plane-wave DFT calculation with PBE-GGA was carried out for a relaxed structure of Si3P3Ir.

Output
- total moment (Bohr magnetons per cell) = 0.00
- energy relative to the elements, uncorrected (eV per atom) = -0.364
- space group = P1 (1)

```
7
Lattice="4.9301 0.0020 0.0001 -0.4601 4.9261 0.0008 -1.6949 -1.9332 4.8697" Properties=species:S:1:pos:R:3 pbc="T T T"
Si 0.7715 0.7403 3.1124
Si 2.0380 2.2070 1.7785
Si -0.3879 2.5212 4.0964
P 0.1966 3.1852 0.7564
P 2.5972 -0.1968 4.1413
P 3.1529 0.5050 0.7288
Ir 3.6111 3.9561 2.4339
```